Computed, not measured: a relaxed LiLa2Fe2 crystal at the GGA-PBE level of DFT.

Output
V ... 23.233 A^3/atom
Electronic total energy ... -55.57 eV for the cell shown
Energy relative to the elements ... 0.18 eV per atom

Structure (POSCAR):
```
LiLa2Fe2
1.0
-1.3052 7.3553 0.9267
-6.6338 -0.7387 -3.4799
-1.8026 -0.7735 3.6006
Fe La Li
4 4 2
direct
0.3960 0.8960 0.0000
0.1040 0.3960 0.0000
0.8960 0.6040 0.0000
0.6040 0.1040 0.0000
0.6797 0.8203 0.5000
0.1797 0.6797 0.5000
0.8203 0.3203 0.5000
0.3203 0.1797 0.5000
0.0000 0.0000 0.0000
0.5000 0.5000 0.0000
```